[1]
Material: ScCuSnHg
Method: DFT, GGA-PBE
State: optimized geometry

a b c (Å): 4.8375 4.8375 4.8375
angles (deg): 60.00 60.00 60.00
Closest atoms and distances in Å follow each position.
Fractional positions:
Sc 0.0000 0.0000 0.0000  4 Hg 2.96, 4 Sn 2.96
Cu 0.5000 0.5000 0.5000  4 Hg 2.96, 4 Sn 2.96
Sn 0.2500 0.2500 0.2500  4 Cu 2.96, 4 Sc 2.96
Hg 0.7500 0.7500 0.7500  4 Sc 2.96, 4 Cu 2.96

The energy above the most stable polymorph in this dataset is 0 kJ/mol of formula units. The value obtained for the spin magnetization is 0.00 μB per formula unit.



[2]
Material: ScCuSnHg
Method: DFT, GGA-PBE
State: optimized geometry

a b c (Å): 4.8516 4.8516 4.8516
angles (deg): 60.00 60.00 60.00
Closest atoms and distances in Å follow each position.
Fractional positions:
Sc 0.0000 0.0000 0.0000  4 Hg 2.97, 4 Cu 2.97
Cu 0.7500 0.7500 0.7500  4 Sn 2.97, 4 Sc 2.97
Sn 0.5000 0.5000 0.5000  4 Hg 2.97, 4 Cu 2.97
Hg 0.2500 0.2500 0.2500  4 Sn 2.97, 4 Sc 2.97

The energy above the most stable polymorph in this dataset is 17 kJ/mol of formula units. The value obtained for the spin magnetization is 0.00 μB per formula unit.



[3]
Material: ScTlCuHg
Method: DFT, GGA-PBE
State: optimized geometry

a b c (Å): 4.8296 4.8296 4.8296
angles (deg): 60.00 60.00 60.00
Closest atoms and distances in Å follow each position.
Fractional positions:
Sc 0.0000 0.0000 0.0000  4 Hg 2.96, 4 Tl 2.96
Tl 0.2500 0.2500 0.2500  4 Cu 2.96, 4 Sc 2.96
Cu 0.5000 0.5000 0.5000  4 Hg 2.96, 4 Tl 2.96
Hg 0.7500 0.7500 0.7500  4 Sc 2.96, 4 Cu 2.96

The energy above the most stable polymorph in this dataset is 0 kJ/mol of formula units. The value obtained for the spin magnetization is 0.00 μB per formula unit.



[4]
Material: ScTlCuHg
Method: DFT, GGA-PBE
State: optimized geometry

a b c (Å): 4.8646 4.8646 4.8646
angles (deg): 60.00 60.00 60.00
Closest atoms and distances in Å follow each position.
Fractional positions:
Sc 0.0000 0.0000 0.0000  4 Cu 2.98, 4 Hg 2.98
Tl 0.5000 0.5000 0.5000  4 Cu 2.98, 4 Hg 2.98
Cu 0.7500 0.7500 0.7500  4 Sc 2.98, 4 Tl 2.98
Hg 0.2500 0.2500 0.2500  4 Tl 2.98, 4 Sc 2.98

The energy above the most stable polymorph in this dataset is 19 kJ/mol of formula units. The value obtained for the spin magnetization is 0.01 μB per formula unit.



[5]
Material: Cu2SiHgTeSe3
Method: DFT, GGA-PBE
State: optimized geometry

a b c (Å): 5.9055 5.9055 6.9430
angles (deg): 114.68 114.68 89.86
Closest atoms and distances in Å follow each position.
Fractional positions:
Cu 0.2389 0.7611 0.0000  3 Se 2.43-2.45, 1 Te 2.56
Cu 0.7611 0.2389 0.0000  3 Se 2.43-2.45, 1 Te 2.56
Si 0.9770 0.9770 0.4784  3 Se 2.34, 1 Te 2.54
Hg 0.4993 0.4993 0.4875  3 Se 2.71-2.76, 1 Te 2.81
Te 0.3533 0.3533 0.7636  1 Si 2.54, 2 Cu 2.56, 1 Hg 2.81
Se 0.0791 0.6368 0.2224  1 Si 2.34, 2 Cu 2.45
Se 0.6368 0.0791 0.2224  1 Si 2.34, 2 Cu 2.45
Se 0.9006 0.9006 0.7525  1 Si 2.34, 2 Cu 2.43

For the energy, the calculation gives -3.582 eV per atom.



[6]
Material: Cu2SiHgTe3Se
Method: DFT, GGA-PBE
State: optimized geometry

a b c (Å): 6.1069 6.1069 7.2214
angles (deg): 114.60 114.60 90.04
Closest atoms and distances in Å follow each position.
Fractional positions:
Cu 0.2392 0.7608 0.0000  1 Se 2.45, 3 Te 2.58-2.59
Cu 0.7608 0.2392 0.0000  1 Se 2.45, 3 Te 2.58-2.59
Si 0.0035 0.0035 0.4782  1 Se 2.35, 3 Te 2.57-2.58
Hg 0.4894 0.4894 0.4878  1 Se 2.79, 3 Te 2.85-2.89
Te 0.3606 0.9056 0.7612  1 Si 2.57, 2 Cu 2.58, 1 Hg 2.85
Te 0.6342 0.6342 0.2153  1 Si 2.58, 2 Cu 2.59
Te 0.9056 0.3606 0.7612  1 Si 2.57, 2 Cu 2.58, 1 Hg 2.85
Se 0.0903 0.0903 0.2245  1 Si 2.35, 2 Cu 2.45

For the energy, the calculation gives -3.410 eV per atom.



[7]
Material: SmCuHgSe3
Method: DFT, GGA-PBE
State: optimized geometry

a b c (Å): 6.8605 6.8605 11.0044
angles (deg): 90.00 90.00 146.01
Closest atoms and distances in Å follow each position.
Fractional positions:
Sm 0.0000 0.0000 0.0000  6 Se 2.90-3.01
Sm 0.0000 0.0000 0.5000  6 Se 2.90-3.01
Cu 0.4729 0.5271 0.7500  4 Se 2.44-2.55
Cu 0.5271 0.4729 0.2500  4 Se 2.44-2.55
Hg 0.2422 0.7578 0.2500  6 Se 2.95-3.03
Hg 0.7578 0.2422 0.7500  6 Se 2.95-3.03
Se 0.0927 0.9073 0.7500  2 Cu 2.55
Se 0.3547 0.6453 0.5791  1 Cu 2.44
Se 0.3547 0.6453 0.9209  1 Cu 2.44
Se 0.6453 0.3547 0.0791  1 Cu 2.44
Se 0.6453 0.3547 0.4209  1 Cu 2.44
Se 0.9073 0.0927 0.2500  2 Cu 2.55

For the energy, the calculation gives -3.944 eV per atom. The value obtained for the spin magnetization is 0.00 μB per formula unit.



[8]
Material: CuSnHg2Se4
Method: DFT, GGA-PBE
State: optimized geometry

a b c (Å): 7.5073 7.5073 7.5073
angles (deg): 131.80 131.80 70.55
Closest atoms and distances in Å follow each position.
Fractional positions:
Cu 0.0000 0.0000 0.0000  4 Se 2.43
Sn 0.5000 0.5000 0.0000  4 Se 2.76
Hg 0.2500 0.7500 0.5000  4 Se 2.73
Hg 0.7500 0.2500 0.5000  4 Se 2.73
Se 0.1107 0.1107 0.4536  1 Cu 2.43
Se 0.3429 0.8893 0.0000  1 Cu 2.43
Se 0.6571 0.6571 0.5464  1 Cu 2.43
Se 0.8893 0.3429 0.0000  1 Cu 2.43

For the energy, the calculation gives -3.010 eV per atom.



[9]
Material: Cu2SnHgSe4
Method: DFT, GGA-PBE
State: optimized geometry

a b c (Å): 8.3561 7.1485 6.8324
angles (deg): 90.00 90.00 90.00
Closest atoms and distances in Å follow each position.
Fractional positions:
Cu 0.2484 0.1649 0.0000  4 Se 2.43-2.45
Cu 0.2516 0.8351 0.5000  4 Se 2.43-2.45
Cu 0.7484 0.8351 0.5000  4 Se 2.43-2.45
Cu 0.7516 0.1649 0.0000  4 Se 2.43-2.45
Sn 0.0000 0.6695 0.0009  4 Se 2.61-2.63
Sn 0.5000 0.3305 0.5009  4 Se 2.61-2.63
Hg 0.0000 0.3464 0.4983  4 Se 2.70-2.74
Hg 0.5000 0.6536 0.9983  4 Se 2.70-2.74
Se 0.0000 0.3150 0.1011  2 Cu 2.44, 1 Sn 2.62, 1 Hg 2.72
Se 0.0000 0.7065 0.6176  2 Cu 2.43, 1 Sn 2.63, 1 Hg 2.70
Se 0.2452 0.8515 0.1425  2 Cu 2.44-2.45, 1 Sn 2.61
Se 0.2548 0.1485 0.6425  2 Cu 2.44-2.45, 1 Sn 2.61
Se 0.5000 0.2935 0.1176  2 Cu 2.43, 1 Sn 2.63, 1 Hg 2.70
Se 0.5000 0.6850 0.6011  2 Cu 2.44, 1 Sn 2.62, 1 Hg 2.72
Se 0.7452 0.1485 0.6425  2 Cu 2.44-2.45, 1 Sn 2.61
Se 0.7548 0.8515 0.1425  2 Cu 2.44-2.45, 1 Sn 2.61

For the energy, the calculation gives -3.484 eV per atom.



[10]
Material: Cu2SnHgTe2Se2
Method: DFT, GGA-PBE
State: optimized geometry

a b c (Å): 7.3745 7.3745 6.1054
angles (deg): 114.12 114.12 48.94
Closest atoms and distances in Å follow each position.
Fractional positions:
Cu 0.2502 0.2502 0.2259  2 Se 2.43, 2 Te 2.59-2.60
Cu 0.7498 0.7498 0.7741  2 Se 2.43, 2 Te 2.59-2.60
Sn 0.4761 0.5239 0.0000  2 Se 2.64, 2 Te 2.83
Hg 0.0139 0.9861 0.5000  2 Se 2.73, 2 Te 2.85
Te 0.5996 0.1105 0.6098  2 Cu 2.59-2.60, 1 Sn 2.83, 1 Hg 2.85
Te 0.8895 0.4004 0.3902  2 Cu 2.59-2.60, 1 Sn 2.83, 1 Hg 2.85
Se 0.1106 0.6055 0.1042  2 Cu 2.43, 1 Sn 2.64
Se 0.3945 0.8894 0.8958  2 Cu 2.43, 1 Sn 2.64

The energy above the most stable polymorph in this dataset is 0 kJ/mol of formula units.



[11]
Material: Cu2SnHgTe2Se2
Method: DFT, GGA-PBE
State: optimized geometry

a b c (Å): 7.3968 7.3844 6.1167
angles (deg): 65.66 65.45 48.89
Closest atoms and distances in Å follow each position.
Fractional positions:
Cu 0.0000 0.0000 0.5000  2 Se 2.46, 2 Te 2.57
Cu 0.5000 0.5000 0.0000  2 Se 2.46, 2 Te 2.57
Sn 0.2689 0.2689 0.7311  2 Se 2.65, 2 Te 2.81
Hg 0.7656 0.7656 0.2344  2 Se 2.75, 2 Te 2.84
Te 0.3616 0.8688 0.6384  2 Cu 2.57, 1 Sn 2.81, 1 Hg 2.84
Te 0.8688 0.3616 0.1312  2 Cu 2.57, 1 Sn 2.81, 1 Hg 2.84
Se 0.1573 0.6461 0.3539  2 Cu 2.46, 1 Sn 2.65, 1 Hg 2.75
Se 0.6461 0.1573 0.8427  2 Cu 2.46, 1 Sn 2.65, 1 Hg 2.75

The energy above the most stable polymorph in this dataset is 6 kJ/mol of formula units.



[12]
Material: Cu2SnHgTe3Se
Method: DFT, GGA-PBE
State: optimized geometry

a b c (Å): 6.2207 6.2207 7.4991
angles (deg): 114.22 114.22 89.97
Closest atoms and distances in Å follow each position.
Fractional positions:
Cu 0.2377 0.7623 0.0000  1 Se 2.45, 3 Te 2.59-2.61
Cu 0.7623 0.2377 0.0000  1 Se 2.45, 3 Te 2.59-2.61
Sn 0.9972 0.9972 0.5190  1 Se 2.65, 3 Te 2.83-2.84
Hg 0.5140 0.5140 0.5158  1 Se 2.76, 3 Te 2.86-2.87
Te 0.1075 0.6134 0.2229  2 Cu 2.59, 1 Sn 2.83, 1 Hg 2.86
Te 0.3930 0.3930 0.7989  2 Cu 2.61, 1 Sn 2.84, 1 Hg 2.87
Te 0.6134 0.1075 0.2229  2 Cu 2.59, 1 Sn 2.83, 1 Hg 2.86
Se 0.8987 0.8987 0.7923  2 Cu 2.45, 1 Sn 2.65

For the energy, the calculation gives -3.264 eV per atom.



[13]
Material: TmCuHgSe3
Method: DFT, GGA-PBE
State: optimized geometry

a b c (Å): 6.9151 6.9151 10.6448
angles (deg): 90.00 90.00 147.01
Closest atoms and distances in Å follow each position.
Fractional positions:
Tm 0.0000 0.0000 0.0000  6 Se 2.82-2.92
Tm 0.0000 0.0000 0.5000  6 Se 2.82-2.92
Cu 0.4719 0.5281 0.7500  4 Se 2.43-2.52
Cu 0.5281 0.4719 0.2500  4 Se 2.43-2.52
Hg 0.2411 0.7589 0.2500  6 Se 2.97-3.04
Hg 0.7589 0.2411 0.7500  6 Se 2.97-3.04
Se 0.0912 0.9088 0.7500  2 Cu 2.52
Se 0.3587 0.6413 0.5703  1 Cu 2.43
Se 0.3587 0.6413 0.9297  1 Cu 2.43
Se 0.6413 0.3587 0.0703  1 Cu 2.43
Se 0.6413 0.3587 0.4297  1 Cu 2.43
Se 0.9088 0.0912 0.2500  2 Cu 2.52

For the energy, the calculation gives -3.899 eV per atom. The value obtained for the spin magnetization is 0.00 μB per formula unit.



[14]
Material: ZrCuHgSe3
Method: DFT, GGA-PBE
State: optimized geometry

a b c (Å): 7.6355 7.6355 10.1732
angles (deg): 90.00 90.00 151.31
Closest atoms and distances in Å follow each position.
Fractional positions:
Zr 0.0000 0.0000 0.0000  6 Se 2.72-2.76
Zr 0.0000 0.0000 0.5000  6 Se 2.72-2.76
Cu 0.4676 0.5324 0.7500  4 Se 2.41-2.45
Cu 0.5324 0.4676 0.2500  4 Se 2.41-2.45
Hg 0.2570 0.7430 0.2500  6 Se 3.15-3.35
Hg 0.7430 0.2570 0.7500  6 Se 3.15-3.35
Se 0.0729 0.9271 0.7500  2 Cu 2.45
Se 0.3741 0.6259 0.5560  1 Cu 2.41
Se 0.3741 0.6259 0.9440  1 Cu 2.41
Se 0.6259 0.3741 0.0560  1 Cu 2.41
Se 0.6259 0.3741 0.4440  1 Cu 2.41
Se 0.9271 0.0729 0.2500  2 Cu 2.45

For the energy, the calculation gives -4.518 eV per atom. The value obtained for the spin magnetization is 0.00 μB per formula unit.



[15]
Material: CuSiTcHg
Method: DFT, GGA-PBE
State: optimized geometry

a b c (Å): 4.4135 4.4135 4.4135
angles (deg): 60.00 60.00 60.00
Closest atoms and distances in Å follow each position.
Fractional positions:
Cu 0.0000 0.0000 0.0000  4 Si 2.70, 4 Hg 2.70
Si 0.7500 0.7500 0.7500  4 Tc 2.70, 4 Cu 2.70
Tc 0.5000 0.5000 0.5000  4 Si 2.70, 4 Hg 2.70
Hg 0.2500 0.2500 0.2500  4 Tc 2.70, 4 Cu 2.70

The energy above the most stable polymorph in this dataset is 0 kJ/mol of formula units. The value obtained for the spin magnetization is 0.00 μB per formula unit.



[16]
Material: YCuSiHg
Method: DFT, GGA-PBE
State: optimized geometry

a b c (Å): 4.8049 4.8049 4.8049
angles (deg): 60.00 60.00 60.00
Closest atoms and distances in Å follow each position.
Fractional positions:
Y 0.0000 0.0000 0.0000  4 Hg 2.94, 4 Cu 2.94
Cu 0.7500 0.7500 0.7500  4 Si 2.94, 4 Y 2.94
Si 0.5000 0.5000 0.5000  4 Cu 2.94, 4 Hg 2.94
Hg 0.2500 0.2500 0.2500  4 Si 2.94, 4 Y 2.94

The energy above the most stable polymorph in this dataset is 26 kJ/mol of formula units. The value obtained for the spin magnetization is 0.00 μB per formula unit.



[17]
Material: YCuSiHg
Method: DFT, GGA-PBE
State: optimized geometry

a b c (Å): 4.8111 4.8111 4.8111
angles (deg): 60.00 60.00 60.00
Closest atoms and distances in Å follow each position.
Fractional positions:
Y 0.0000 0.0000 0.0000  4 Hg 2.95, 4 Si 2.95
Cu 0.5000 0.5000 0.5000  4 Hg 2.95, 4 Si 2.95
Si 0.2500 0.2500 0.2500  4 Cu 2.95, 4 Y 2.95
Hg 0.7500 0.7500 0.7500  4 Y 2.95, 4 Cu 2.95

The energy above the most stable polymorph in this dataset is 0 kJ/mol of formula units. The value obtained for the spin magnetization is 0.00 μB per formula unit.



[18]
Material: ZnCuSiHg
Method: DFT, GGA-PBE
State: optimized geometry

a b c (Å): 4.5729 4.5729 4.5729
angles (deg): 60.00 60.00 60.00
Closest atoms and distances in Å follow each position.
Fractional positions:
Zn 0.0000 0.0000 0.0000  4 Hg 2.80, 4 Cu 2.80
Cu 0.7500 0.7500 0.7500  4 Si 2.80, 4 Zn 2.80
Si 0.5000 0.5000 0.5000  4 Hg 2.80, 4 Cu 2.80
Hg 0.2500 0.2500 0.2500  4 Zn 2.80, 4 Si 2.80

The energy above the most stable polymorph in this dataset is 19 kJ/mol of formula units.



[19]
Material: ZnCuSiHg
Method: DFT, GGA-PBE
State: optimized geometry

a b c (Å): 4.5546 4.5546 4.5546
angles (deg): 60.00 60.00 60.00
Closest atoms and distances in Å follow each position.
Fractional positions:
Zn 0.0000 0.0000 0.0000  4 Hg 2.79, 4 Si 2.79
Cu 0.5000 0.5000 0.5000  4 Hg 2.79, 4 Si 2.79
Si 0.2500 0.2500 0.2500  4 Cu 2.79, 4 Zn 2.79
Hg 0.7500 0.7500 0.7500  4 Cu 2.79, 4 Zn 2.79

The energy above the most stable polymorph in this dataset is 0 kJ/mol of formula units.



[20]
Material: ZrCuSiHg
Method: DFT, GGA-PBE
State: optimized geometry

a b c (Å): 4.6774 4.6774 4.6774
angles (deg): 60.00 60.00 60.00
Closest atoms and distances in Å follow each position.
Fractional positions:
Zr 0.0000 0.0000 0.0000  4 Hg 2.86, 4 Cu 2.86
Cu 0.7500 0.7500 0.7500  4 Zr 2.86, 4 Si 2.86
Si 0.5000 0.5000 0.5000  4 Hg 2.86, 4 Cu 2.86
Hg 0.2500 0.2500 0.2500  4 Zr 2.86, 4 Si 2.86

The energy above the most stable polymorph in this dataset is 67 kJ/mol of formula units. The value obtained for the spin magnetization is 0.00 μB per formula unit.